No. 1
TmNb2CuSi2: optimized geometry, PBE-GGA. Values from VASP.

total energy: -41.000 eV for the cell shown
calculated density: 7.17 g cm⁻³
magnetization: 0.0005 μB per atom

Quantum ESPRESSO input file:
```
&SYSTEM
  ibrav = 0, nat = 6, ntyp = 4
/
ATOMIC_SPECIES
Cu 63.55 Cu.upf
Nb 92.91 Nb.upf
Si 28.09 Si.upf
Tm 168.93 Tm.upf
CELL_PARAMETERS angstrom
3.937 0.000 0.000
0.000 3.937 0.000
0.000 0.000 7.086
ATOMIC_POSITIONS angstrom
Cu 0.000 0.000 2.457
Nb 1.968 0.000 0.060
Nb 0.000 1.968 0.060
Si 1.968 1.968 1.831
Si 0.000 0.000 5.240
Tm 1.968 1.968 4.524
```



No. 2
HoNbNO: optimized geometry, PBE-GGA. Values from VASP.

total energy: -69.959 eV for the cell shown
calculated density: 7.65 g cm⁻³
magnetization: 0.0001 μB per atom
energy relative to the lowest polymorph listed for this composition: 0.000 eV/atom

Quantum ESPRESSO input file:
```
&SYSTEM
  ibrav = 0, nat = 8, ntyp = 4
/
ATOMIC_SPECIES
Ho 164.93 Ho.upf
N 14.01 N.upf
Nb 92.91 Nb.upf
O 16.00 O.upf
CELL_PARAMETERS angstrom
2.814 -2.814 0.000
2.814 2.814 0.000
0.000 0.000 7.890
ATOMIC_POSITIONS angstrom
Ho 1.407 0.000 1.014
Ho 4.221 0.000 6.875
N 4.221 0.000 3.191
N 1.407 0.000 4.698
Nb 2.814 -1.407 3.945
Nb 2.814 1.407 3.945
O 2.814 -1.407 0.000
O 2.814 1.407 0.000
```



No. 3
NiBi2Ir: optimized geometry, PBE-GGA. Values from VASP.

total energy: -19.570 eV for the cell shown
calculated density: 13.43 g cm⁻³
magnetization: 0.0356 μB per atom

Quantum ESPRESSO input file:
```
&SYSTEM
  ibrav = 0, nat = 4, ntyp = 3
/
ATOMIC_SPECIES
Bi 208.98 Bi.upf
Ir 192.22 Ir.upf
Ni 58.69 Ni.upf
CELL_PARAMETERS angstrom
2.592 -4.124 0.438
4.685 0.192 1.391
1.303 -1.610 4.431
ATOMIC_POSITIONS angstrom
Bi 4.290 -2.771 3.130
Bi 6.435 -4.157 4.695
Ir 2.145 -1.386 1.565
Ni 0.000 0.000 0.000
```



No. 4
FeHgS2: optimized geometry, PBE-GGA. Values from VASP.

total energy: -17.276 eV for the cell shown
calculated density: 5.90 g cm⁻³
magnetization: 0.9957 μB per atom

Quantum ESPRESSO input file:
```
&SYSTEM
  ibrav = 0, nat = 4, ntyp = 3
/
ATOMIC_SPECIES
Fe 55.84 Fe.upf
Hg 200.59 Hg.upf
S 32.06 S.upf
CELL_PARAMETERS angstrom
-0.779 -0.431 -3.834
-2.444 -1.516 2.688
-3.494 5.745 0.065
ATOMIC_POSITIONS angstrom
Fe -0.003 0.005 0.000
Hg -3.704 1.830 0.547
S -1.164 1.914 0.022
S -5.021 3.995 0.572
```



No. 5
ErZrFe2Ge2C: optimized geometry, PBE-GGA. Values from VASP.

total energy: -52.162 eV for the cell shown
calculated density: 8.30 g cm⁻³
magnetization: 0.0015 μB per atom

Quantum ESPRESSO input file:
```
&SYSTEM
  ibrav = 0, nat = 7, ntyp = 5
/
ATOMIC_SPECIES
C 12.01 C.upf
Er 167.26 Er.upf
Fe 55.84 Fe.upf
Ge 72.64 Ge.upf
Zr 91.22 Zr.upf
CELL_PARAMETERS angstrom
5.215 -1.918 0.000
5.215 1.918 0.000
-4.028 0.000 5.274
ATOMIC_POSITIONS angstrom
C 6.418 0.000 5.216
Er 4.663 0.000 1.521
Fe 1.709 0.000 0.464
Fe 4.691 0.000 4.813
Ge 7.542 0.000 1.628
Ge -1.150 0.000 3.680
Zr 1.737 0.000 3.772
```



No. 6
ThInRe: optimized geometry, PBE-GGA. Values from VASP.

total energy: -21.760 eV for the cell shown
calculated density: 11.56 g cm⁻³
magnetization: 0.0003 μB per atom
energy relative to the lowest polymorph listed for this composition: 0.000 eV/atom

Quantum ESPRESSO input file:
```
&SYSTEM
  ibrav = 0, nat = 3, ntyp = 3
/
ATOMIC_SPECIES
In 114.82 In.upf
Re 186.21 Re.upf
Th 232.04 Th.upf
CELL_PARAMETERS angstrom
-1.003 -4.657 -0.181
-4.462 -1.507 0.738
-2.555 -1.749 -3.625
ATOMIC_POSITIONS angstrom
In -6.015 -5.934 -2.301
Re 0.000 0.000 0.000
Th -2.005 -1.978 -0.767
```